[1]
BeRuI2: optimized geometry, PBE.

Lattice parameters (Å, degrees): 6.8632 6.8632 6.8632 90.00 90.00 90.00
Last column: nearest neighbours and their distance in Å.
Space group Fm-3m (No. 225)
Unique sites:
Be 0.0000 0.0000 0.0000 (multiplicity 4)  8 I 2.97
Ru 0.0000 0.0000 0.5000 (multiplicity 4)  8 I 2.97
I 0.2500 0.2500 0.2500 (multiplicity 8)  4 Ru 2.97, 4 Be 2.97

## Properties
ΔE_f (raw), eV/atom: 1.115
Excess energy over the best structure of this formula in the dataset, meV/atom: 480

=====

[2]
ScInNi4: optimized geometry, PBE.

Lattice parameters (Å, degrees): 6.9078 6.9078 6.9078 90.00 90.00 90.00
Last column: nearest neighbours and their distance in Å.
Space group F-43m (No. 216)
Unique sites:
Sc 0.0000 0.0000 0.0000 (multiplicity 4)  12 Ni 2.86, 4 In 2.99
In 0.2500 0.2500 0.7500 (multiplicity 4)  12 Ni 2.86, 4 Sc 2.99
Ni 0.1247 0.1247 0.3753 (multiplicity 16)  6 Ni 2.44-2.45

## Properties
E_form, eV per atom: -0.41

=====

[3]
Ca4Ag3Au2: optimized geometry, PBE.

Lattice parameters (Å, degrees): 8.6926 5.0207 10.0727 90.00 90.04 90.00
Last column: nearest neighbours and their distance in Å.
Space group C2/m (No. 12)
Unique sites:
Ca 0.9997 0.0000 0.1689 (multiplicity 4)  3 Au 3.20, 7 Ag 3.33-3.39, 1 Ca 3.40
Ca 0.1664 0.5000 0.3883 (multiplicity 4)  4 Au 3.02-3.11, 3 Ag 3.11
Ag 0.0000 0.0000 0.5000 (multiplicity 2)  8 Ca 3.11-3.34
Ag 0.1668 0.5000 0.9945 (multiplicity 4)  3 Ag 2.90, 1 Au 3.00
Au 0.1671 0.5000 0.6969 (multiplicity 4)  1 Ag 3.00, 7 Ca 3.02-3.20

## Properties
E_form, eV per atom: -0.49

=====

[4]
CeMg6B: optimized geometry, PBE.

Lattice parameters (Å, degrees): 4.6254 5.6709 13.4230 90.00 90.00 90.00
Last column: nearest neighbours and their distance in Å.
Space group Amm2 (No. 38)
Unique sites:
Ce 0.0000 0.0000 0.0000 (multiplicity 2)  2 B 3.05, 6 Mg 3.15-3.18
Mg 0.0000 0.2482 0.7520 (multiplicity 4)  1 B 2.64, 4 Mg 2.82-2.92
Mg 0.5000 0.0000 0.1626 (multiplicity 2)  8 Mg 2.97-3.27, 2 Ce 3.18
Mg 0.5000 0.0000 0.5871 (multiplicity 2)  4 Mg 3.01-3.04, 2 B 3.25
Mg 0.5000 0.2403 0.3844 (multiplicity 4)  2 B 2.72, 5 Mg 2.72-3.04
B 0.0000 0.0000 0.4171 (multiplicity 2)  6 Mg 2.64-2.72

## Properties
E_form, eV per atom: 0.27
Excess energy over the best structure of this formula in the dataset, meV/atom: 62